Compound: K2RbGa
Source: the Alexandria database
Functional: GGA-PBE
Structure: optimized geometry

abc: 5.636 5.636 26.957
angles: 90.00 90.00 90.00
Sites, in units of the cell vectors:
K  0.217  0.250  0.125
K  0.250  0.717  0.375
K  0.250  0.783  0.875
K  0.283  0.250  0.625
K  0.717  0.750  0.625
K  0.750  0.217  0.875
K  0.750  0.283  0.375
K  0.783  0.750  0.125
Rb  0.000  0.000  0.500
Rb  0.000  0.500  0.750
Rb  0.500  0.000  0.250
Rb  0.500  0.500  0.000
Ga  0.000  0.000  0.000
Ga  0.000  0.500  0.250
Ga  0.500  0.000  0.750
Ga  0.500  0.500  0.500

Output
As for the calculated total energy: -20.8 eV/cell. Its space group is I-42d (122). The density of states at the Fermi level comes out at 2.9 states/eV/f.u.

---

Compound: KRb2Ga
Source: the Alexandria database
Functional: GGA-PBE
Structure: optimized geometry

abc: 4.388 4.388 45.949
angles: 90.00 90.00 120.00
Sites, in units of the cell vectors:
K  0.000  0.000  0.000
K  0.333  0.667  0.667
K  0.667  0.333  0.333
Rb  0.000  0.000  0.424
Rb  0.000  0.000  0.576
Rb  0.333  0.667  0.090
Rb  0.333  0.667  0.243
Rb  0.667  0.333  0.757
Rb  0.667  0.333  0.910
Ga  0.000  0.000  0.500
Ga  0.333  0.667  0.167
Ga  0.667  0.333  0.833

Output
As for the calculated total energy: -13.8 eV/cell. Its space group is R-3m (166). The density of states at the Fermi level comes out at 4.8 states/eV/f.u.

---

Compound: K2RbGa2
Source: the Alexandria database
Functional: GGA-PBE
Structure: optimized geometry

abc: 4.015 4.015 28.780
angles: 90.00 90.00 90.00
Sites, in units of the cell vectors:
K  0.000  0.000  0.145
K  0.000  0.000  0.855
K  0.500  0.500  0.355
K  0.500  0.500  0.645
Rb  0.000  0.000  0.500
Rb  0.500  0.500  0.000
Ga  0.000  0.500  0.250
Ga  0.000  0.500  0.750
Ga  0.500  0.000  0.250
Ga  0.500  0.000  0.750

Output
Its space group is I4/mmm (139). Its polymorph energy (0 for the lowest one) is 0 meV/atom. The density of states at the Fermi level comes out at 3.2 states/eV/f.u.

---

no.,total magnetization (μB per atom)
1,0.00
2,0.00
3,0.00